# Pr2I2Br3 (PBE-GGA, optimized geometry)
# energy above the most stable polymorph in this dataset = 139 meV/atom
# total DFT energy (no corrections) = -27.58 eV/f.u.
# SG = P2/m, No. 10
# ΔE_f (raw) = -1415 meV/atom
data_Pr2I2Br3
_cell_length_a 4.5972
_cell_length_b 4.6065
_cell_length_c 15.1745
_cell_angle_alpha 90.00
_cell_angle_beta 98.54
_cell_angle_gamma 90.00
_symmetry_space_group_name_H-M 'P 1'
_symmetry_Int_Tables_number 1
loop_
_symmetry_equiv_pos_as_xyz
'x,y,z'
loop_
_atom_site_label
_atom_site_type_symbol
_atom_site_fract_x
_atom_site_fract_y
_atom_site_fract_z
Pr1 Pr 0.0882 0.0000 0.1996
Pr2 Pr 0.9118 0.0000 0.8004
I1 I 0.4197 0.5000 0.8194
I2 I 0.5803 0.5000 0.1806
Br1 Br 0.0000 0.0000 0.0000
Br2 Br 0.1901 0.0000 0.3781
Br3 Br 0.8099 0.0000 0.6219